# PBE OsRu2WSe, optimized geometry
data_OsRu2WSe
_chemical_formula_sum 'Os1 Ru2 W1 Se1'
_cell_length_a 4.4029
_cell_length_b 4.4029
_cell_length_c 4.5939
_cell_angle_alpha 90.00
_cell_angle_beta 90.00
_cell_angle_gamma 90.00
_symmetry_space_group_name_H-M 'P 1'
_symmetry_Int_Tables_number 1
loop_
_symmetry_equiv_pos_as_xyz
'x,y,z'
loop_
_atom_site_label
_atom_site_type_symbol
_atom_site_fract_x
_atom_site_fract_y
_atom_site_fract_z
Os1 Os 0.0000 0.0000 0.0000
Ru1 Ru 0.0000 0.5000 0.5000
Ru2 Ru 0.5000 0.0000 0.5000
W1 W 0.5000 0.5000 0.0000
Se1 Se 0.5000 0.5000 0.5000
# * E_tot: -38.0 eV for the cell shown
# * formation energy (no corrections): 1.639 eV/atom
# * total moment: 1.088 μB/f.u.